(1)
An optimized crystal structure of Sc8CuIr2, computed with PBE.

SG	Cm, No. 8
calculated formation energy	-0.371	eV/atom
density	5.6	g/cm3
DOS at the Fermi energy	14.34	states/eV per cell

Geometry as extended XYZ:
```
11
Lattice="5.039 0.072 -0.833 -1.692 6.526 -2.762 0.063 -0.101 7.285" Properties=species:S:1:pos:R:3 pbc="T T T"
Ir 1.350 4.522 -0.025
Sc 3.054 4.110 2.178
Sc 0.503 6.045 2.012
Sc 4.678 1.524 4.147
Cu 0.177 0.006 -0.027
Ir 2.010 2.027 3.758
Sc 2.400 2.206 -0.858
Sc 0.323 2.400 1.527
Sc 3.734 5.088 -1.255
Sc 0.953 4.346 4.588
Sc 2.852 0.501 1.727
```

(2)
An optimized crystal structure of AlHgMo2, computed with PBE.

ΔE to the lowest computed polymorph	15.0	kJ per mole of atoms
SG	Cm, No. 8
calculated formation energy	0.305	eV/atom
density	10.3	g/cm3
DOS at the Fermi energy	2.78	states/eV per cell

Geometry as extended XYZ:
```
4
Lattice="-2.839 2.157 3.411 -4.515 1.575 1.218 -1.451 -4.317 2.255" Properties=species:S:1:pos:R:3 pbc="T T T"
Mo -2.152 -0.120 1.676
Hg -6.586 -0.391 5.137
Mo -0.040 -0.087 0.054
Al -4.428 -0.279 3.458
```

(3)
An optimized crystal structure of Sm3ErTm6, computed with PBE.

ΔE to the lowest computed polymorph	0.0	kJ per mole of atoms
SG	P-1, No. 2
calculated formation energy	0.023	eV/atom
density	8.7	g/cm3
DOS at the Fermi energy	13.47	states/eV per cell

Geometry as extended XYZ:
```
10
Lattice="9.325 -0.308 -0.050 -3.766 7.460 -4.161 1.962 -1.776 5.505" Properties=species:S:1:pos:R:3 pbc="T T T"
Tm 0.201 5.923 -1.557
Tm 4.138 4.360 1.048
Tm 6.143 4.584 -1.853
Sm 0.000 0.000 0.000
Sm 0.804 3.354 0.795
Er 2.780 3.576 -2.105
Tm 7.321 -0.547 2.851
Sm 6.718 2.021 0.499
Tm 3.384 1.016 0.246
Tm 1.379 0.792 3.147
```